# 1
Density functional theory data (PBE) for an optimized crystal structure of RbPm2CuO4.

Unit cell a=3.593 b=6.348 c=12.096 alpha=90.00 beta=90.00 gamma=106.44
Atoms (fractional coordinates):
O  0.252  0.505  0.401
O  0.252  0.505  0.099
O  0.415  0.830  0.750
Pm  0.633  0.265  0.060
O  0.748  0.495  0.901
Cu  0.824  0.648  0.750
Pm  0.367  0.735  0.560
O  0.748  0.495  0.599
Pm  0.367  0.735  0.940
O  0.000  0.000  0.000
Pm  0.633  0.265  0.440
O  0.585  0.170  0.250
Rb  0.901  0.801  0.250
O  0.000  0.000  0.500
Rb  0.099  0.199  0.750
Cu  0.176  0.352  0.250

Properties
ΔE_f (raw) in eV/atom: -2.37
Uncorrected energy in eV/atom: -6.67
Calculated volume in Å³ per atom: 16.54
Space-group type: Cmcm, No. 63
N(E_F) in states/eV/atom: 0.0000


# 2
Density functional theory data (PBE) for an optimized crystal structure of KBe2Se.

Unit cell a=4.214 b=4.214 c=7.219 alpha=66.22 beta=66.22 gamma=50.60
Atoms (fractional coordinates):
Be  0.670  0.670  0.903
Se  0.366  0.366  0.142
K  0.511  0.511  0.519
Be  0.953  0.953  0.937

Properties
ΔE_f (raw) in eV/atom: 0.04
Uncorrected energy in eV/atom: -2.96
Calculated volume in Å³ per atom: 22.16
Space-group type: Cm, No. 8
N(E_F) in states/eV/atom: 0.2463


# 3
Density functional theory data (PBE) for an optimized crystal structure of Tb2TiZn12Cu3.

Unit cell a=8.276 b=8.276 c=8.276 alpha=53.72 beta=53.72 gamma=53.72
Atoms (fractional coordinates):
Zn  0.779  0.779  0.138
Tb  0.586  0.586  0.586
Zn  0.862  0.221  0.221
Zn  0.221  0.862  0.221
Zn  0.831  0.831  0.462
Cu  0.500  0.000  0.000
Zn  0.462  0.831  0.831
Zn  0.138  0.779  0.779
Zn  0.221  0.221  0.862
Cu  0.000  0.000  0.500
Cu  0.000  0.500  0.000
Zn  0.169  0.169  0.538
Zn  0.779  0.138  0.779
Tb  0.414  0.414  0.414
Zn  0.169  0.538  0.169
Zn  0.831  0.462  0.831
Ti  0.000  0.000  0.000
Zn  0.538  0.169  0.169

Properties
Uncorrected energy in eV/atom: -2.31
Calculated volume in Å³ per atom: 19.00
Space-group type: R-3m, No. 166
N(E_F) in states/eV/atom: 0.4346
ΔE_f in kcal/mol of atoms: 4.0


# 4
Density functional theory data (PBE) for an optimized crystal structure of TiInAsAu2.

Unit cell a=4.878 b=5.256 c=4.878 alpha=90.00 beta=90.00 gamma=90.00
Atoms (fractional coordinates):
In  0.000  0.500  0.000
Ti  0.500  0.500  0.500
Au  0.000  0.000  0.500
Au  0.500  0.000  0.000
As  0.000  0.000  0.000

Properties
Uncorrected energy in eV/atom: -3.64
Calculated volume in Å³ per atom: 25.01
Space-group type: P4/mmm, No. 123
N(E_F) in states/eV/atom: 1.2726
ΔE_f in kcal/mol of atoms: 16.7


# 5
Density functional theory data (PBE) for an optimized crystal structure of Sn2Pt2Au.

Unit cell a=4.343 b=4.343 c=6.541 alpha=70.61 beta=70.61 gamma=90.00
Atoms (fractional coordinates):
Sn  0.250  0.750  0.500
Pt  0.613  0.613  0.773
Sn  0.750  0.250  0.500
Au  0.000  0.000  0.000
Pt  0.387  0.387  0.227

Properties
Uncorrected energy in eV/atom: -4.71
Calculated volume in Å³ per atom: 21.78
Space-group type: I4/mmm, No. 139
Relative energy among the computed polymorphs in eV per atom: 0.260
N(E_F) in states/eV/atom: 0.3780
ΔE_f in kcal/mol of atoms: -0.8


# 6
Density functional theory data (PBE) for an optimized crystal structure of LiHg2As2.

Unit cell a=7.803 b=7.803 c=3.626 alpha=90.00 beta=90.00 gamma=90.00
Atoms (fractional coordinates):
Hg  0.136  0.364  0.000
As  0.173  0.673  0.500
Li  0.000  0.000  0.000
As  0.327  0.173  0.500
Hg  0.864  0.636  0.000
As  0.673  0.827  0.500
As  0.827  0.327  0.500
Li  0.500  0.500  0.000
Hg  0.364  0.864  0.000
Hg  0.636  0.136  0.000

Properties
Uncorrected energy in eV/atom: -2.24
Calculated volume in Å³ per atom: 22.07
Space-group type: P4/mbm, No. 127
Relative energy among the computed polymorphs in eV per atom: 0.077
N(E_F) in states/eV/atom: 0.3495
ΔE_f in kcal/mol of atoms: 2.9


# 7
Density functional theory data (PBE) for an optimized crystal structure of ReRh7.

Unit cell a=2.722 b=2.722 c=15.412 alpha=90.00 beta=90.00 gamma=90.00
Atoms (fractional coordinates):
Rh  0.000  0.000  0.253
Re  0.000  0.000  0.000
Rh  0.500  0.500  0.877
Rh  0.000  0.000  0.500
Rh  0.500  0.500  0.625
Rh  0.500  0.500  0.123
Rh  0.500  0.500  0.375
Rh  0.000  0.000  0.747

Properties
Uncorrected energy in eV/atom: -8.02
Calculated volume in Å³ per atom: 14.27
Space-group type: P4/mmm, No. 123
Relative energy among the computed polymorphs in eV per atom: 0.031
N(E_F) in states/eV/atom: 1.2391
ΔE_f in kcal/mol of atoms: -0.7


# 8
Density functional theory data (PBE) for an optimized crystal structure of CaLaAl.

Unit cell a=9.314 b=6.696 c=5.377 alpha=90.00 beta=90.00 gamma=90.00
Atoms (fractional coordinates):
Al  0.000  0.500  0.000
Al  0.000  0.000  0.000
Al  0.500  0.500  0.500
Ca  0.667  0.250  0.999
Ca  0.167  0.250  0.501
Ca  0.833  0.750  0.499
La  0.166  0.750  0.501
Al  0.500  0.000  0.500
La  0.334  0.250  0.001
Ca  0.333  0.750  0.001
La  0.834  0.250  0.499
La  0.666  0.750  0.999

Properties
Uncorrected energy in eV/atom: -3.56
Calculated volume in Å³ per atom: 27.94
Space-group type: Pnma, No. 62
Relative energy among the computed polymorphs in eV per atom: 0.282
N(E_F) in states/eV/atom: 0.4959
ΔE_f in kcal/mol of atoms: 0.0


# 9
Density functional theory data (PBE) for an optimized crystal structure of AgSb2Br.

Unit cell a=3.347 b=4.206 c=7.437 alpha=90.00 beta=90.00 gamma=90.00
Atoms (fractional coordinates):
Sb  0.000  0.000  0.452
Br  0.500  0.500  0.750
Sb  0.000  0.000  0.048
Ag  0.500  0.500  0.250

Properties
ΔE_f (raw) in eV/atom: 0.10
Uncorrected energy in eV/atom: -3.09
Calculated volume in Å³ per atom: 26.17
Space-group type: Pmmm, No. 47
Relative energy among the computed polymorphs in eV per atom: 0.225
N(E_F) in states/eV/atom: 0.3921


# 10
Density functional theory data (PBE) for an optimized crystal structure of NaGeAu11.

Unit cell a=5.485 b=7.187 c=7.267 alpha=83.92 beta=67.83 gamma=73.71
Atoms (fractional coordinates):
Au  0.469  0.780  0.212
Au  0.949  0.652  0.362
Ge  0.500  0.500  0.000
Au  0.000  0.500  0.000
Au  0.051  0.348  0.638
Au  0.531  0.220  0.788
Au  0.690  0.348  0.362
Au  0.320  0.220  0.212
Na  0.000  0.000  0.000
Au  0.500  0.000  0.500
Au  0.680  0.780  0.788
Au  0.310  0.652  0.638
Au  0.000  0.000  0.500

Properties
Uncorrected energy in eV/atom: -3.27
Calculated volume in Å³ per atom: 19.59
Space-group type: C2/m, No. 12
N(E_F) in states/eV/atom: 0.2670
ΔE_f in kcal/mol of atoms: -1.0


# 11
Density functional theory data (PBE) for an optimized crystal structure of ScH8Rh4.

Unit cell a=5.710 b=5.726 c=5.565 alpha=90.14 beta=120.86 gamma=119.91
Atoms (fractional coordinates):
H  0.963  0.222  0.185
H  0.444  0.222  0.185
H  0.460  0.730  0.190
H  0.036  0.257  0.815
H  0.037  0.778  0.815
H  0.556  0.778  0.815
Sc  0.000  0.500  0.500
Rh  0.500  0.000  0.000
Rh  0.000  0.000  0.000
Rh  0.500  0.500  0.000
Rh  0.000  0.500  0.000
H  0.540  0.270  0.810
H  0.964  0.743  0.185

Properties
Uncorrected energy in eV/atom: -4.94
Calculated volume in Å³ per atom: 9.77
Space-group type: C2/m, No. 12
N(E_F) in states/eV/atom: 0.4938


# 12
Density functional theory data (PBE) for an optimized crystal structure of Rb4La3SmSe8.

Unit cell a=8.870 b=9.503 c=8.871 alpha=117.85 beta=120.00 gamma=90.00
Atoms (fractional coordinates):
Se  0.261  0.300  0.030
Sm  0.000  0.500  0.000
Se  0.734  0.702  0.468
Se  0.769  0.300  0.539
Se  0.769  0.300  0.030
Se  0.231  0.700  0.970
Se  0.266  0.298  0.532
Se  0.739  0.700  0.970
La  0.500  0.500  0.000
Rb  0.000  0.000  0.000
La  0.000  0.500  0.500
Se  0.231  0.700  0.461
Rb  0.500  0.000  0.000
Rb  0.000  0.000  0.500
Rb  0.500  0.000  0.500
La  0.500  0.500  0.500

Properties
ΔE_f (raw) in eV/atom: -1.80
Uncorrected energy in eV/atom: -5.00
Calculated volume in Å³ per atom: 34.08
Space-group type: R-3m, No. 166
N(E_F) in states/eV/atom: 0.0000